# HfBe2Rh | the Alexandria database | PBEsol | relaxed
# energy of formation from the pure elements	83	meV/atom
# magnetization	0.0001	μB per atom
data_HfBe2Rh
_chemical_formula_sum 'Hf4 Be8 Rh4'
_cell_length_a 3.841
_cell_length_b 3.841
_cell_length_c 16.005
_cell_angle_alpha 90.00
_cell_angle_beta 90.00
_cell_angle_gamma 90.00
_space_group_name_H-M_alt 'I 41/a m d'
_space_group_IT_number 141
loop_
_space_group_symop_operation_xyz
'x,y,z'
'-x,-y,-z'
'-y+1/4,x+3/4,z+1/4'
'y+1/4,-x+3/4,-z+1/4'
'-x+1/2,-y,z+1/2'
'x+1/2,y,-z+1/2'
'y+1/4,-x+1/4,z+3/4'
'-y+1/4,x+1/4,-z+3/4'
'x,-y,-z'
'-x,y,z'
'-y+1/4,-x+1/4,-z+3/4'
'y+1/4,x+1/4,z+3/4'
'-x+1/2,y,-z+1/2'
'x+1/2,-y,z+1/2'
'y+1/4,x+3/4,-z+1/4'
'-y+1/4,-x+3/4,z+1/4'
'x+1/2,y+1/2,z+1/2'
'-x+1/2,-y+1/2,-z+1/2'
'-y+3/4,x+1/4,z+3/4'
'y+3/4,-x+1/4,-z+3/4'
'-x,-y+1/2,z'
'x,y+1/2,-z'
'y+3/4,-x+3/4,z+1/4'
'-y+3/4,x+3/4,-z+1/4'
'x+1/2,-y+1/2,-z+1/2'
'-x+1/2,y+1/2,z+1/2'
'-y+3/4,-x+3/4,-z+1/4'
'y+3/4,x+3/4,z+1/4'
'-x,y+1/2,-z'
'x,-y+1/2,z'
'y+3/4,x+1/4,-z+3/4'
'-y+3/4,-x+1/4,z+3/4'
loop_
_atom_site_label
_atom_site_fract_x
_atom_site_fract_y
_atom_site_fract_z
_atom_site_occupancy
Hf1 0.000 0.250 0.375 1
Be1 0.000 0.000 0.000 1
Rh1 0.000 0.250 0.875 1